# KInGe4O12 (PBE-GGA, optimized geometry)
# Crystal system = orthorhombic
# V = 11.8 Å³ per atom
# Formation energy (no corrections) = -1.038 eV per atom
data_KInGe4O12
_symmetry_space_group_name_H-M 'A m m 2'
_symmetry_Int_Tables_number 38
_symmetry_space_group_name_Hall 'A 2 -2'
_cell_length_a 7.510
_cell_length_b 7.620
_cell_length_c 7.411
_cell_angle_alpha 90.00
_cell_angle_beta 90.00
_cell_angle_gamma 90.00
loop_
_atom_site_label
_atom_site_type_symbol
_atom_site_fract_x
_atom_site_fract_y
_atom_site_fract_z
K1 K 0.000 0.000 0.000
In1 In 0.500 0.000 0.541
Ge1 Ge 0.246 0.241 0.270
O1 O 0.000 0.220 0.273
O2 O 0.244 0.000 0.729
O3 O 0.264 0.220 0.018
O4 O 0.304 0.000 0.316
O5 O 0.500 0.211 0.745